[1]
A plane-wave DFT calculation with PBE-GGA was carried out for a geometry-optimized Li3AcAg structure.

Unit cell a=5.748 b=5.748 c=17.833 alpha=90.00 beta=90.00 gamma=90.00
Space group I-4m2 (No. 119)
Unique sites:
Li  0.000  0.000  0.214 [4 per cell]
Li  0.000  0.259  0.369 [8 per cell]
Ac  0.000  0.500  0.560 [4 per cell]
Ag  0.000  0.000  0.500 [2 per cell]
Ag  0.000  0.500  0.250 [2 per cell]

Properties
ΔE to the lowest computed polymorph, meV/atom: 184
D(E_F), states/eV/cell: 14.5

---

[2]
A plane-wave DFT calculation with PBE-GGA was carried out for a geometry-optimized Li2Ac3Ag3 structure.

Unit cell a=3.879 b=5.505 c=21.419 alpha=90.00 beta=90.00 gamma=90.00
Space group Immm (No. 71)
Unique sites:
Li  0.000  0.000  0.232 [4 per cell]
Ac  0.000  0.000  0.000 [2 per cell]
Ac  0.000  0.500  0.129 [4 per cell]
Ag  0.000  0.000  0.500 [2 per cell]
Ag  0.000  0.500  0.363 [4 per cell]

Properties
ΔE to the lowest computed polymorph, meV/atom: 34
D(E_F), states/eV/cell: 11.0

---

[3]
A plane-wave DFT calculation with PBE-GGA was carried out for a geometry-optimized LiAcAg4 structure.

Unit cell a=8.120 b=8.120 c=8.120 alpha=90.00 beta=90.00 gamma=90.00
Space group F-43m (No. 216)
Unique sites:
Li  0.000  0.000  0.000 [4 per cell]
Ac  0.250  0.250  0.250 [4 per cell]
Ag  0.126  0.126  0.626 [16 per cell]

Properties
ΔE to the lowest computed polymorph, meV/atom: 0
D(E_F), states/eV/cell: 26.8

---

[4]
A plane-wave DFT calculation with PBE-GGA was carried out for a geometry-optimized LiAc2Ag structure.

Unit cell a=4.4527 b=4.4527 c=23.1337 alpha=90.00 beta=90.00 gamma=120.00
Space group R3m (No. 160, hexagonal axes)
Unique sites:
Li  0.0000  0.0000  0.0000 [3 per cell]
Ac  0.0000  0.0000  0.2309 [3 per cell]
Ac  0.0000  0.0000  0.4296 [3 per cell]
Ag  0.0000  0.0000  0.6620 [3 per cell]

Properties
ΔE to the lowest computed polymorph, meV/atom: 57
D(E_F), states/eV/cell: 15.1

---

[5]
A plane-wave DFT calculation with PBE-GGA was carried out for a geometry-optimized LiAc6Ag5 structure.

Unit cell a=5.623 b=7.913 c=16.883 alpha=90.00 beta=90.00 gamma=90.00
Space group Immm (No. 71)
Unique sites:
Li  0.000  0.000  0.000 [2 per cell]
Ac  0.000  0.242  0.500 [4 per cell]
Ac  0.000  0.254  0.170 [8 per cell]
Ag  0.000  0.000  0.333 [4 per cell]
Ag  0.000  0.500  0.000 [2 per cell]
Ag  0.000  0.500  0.343 [4 per cell]

Properties
D(E_F), states/eV/cell: 14.2

---

[6]
A plane-wave DFT calculation with PBE-GGA was carried out for a geometry-optimized Li2AcAg6 structure.

Unit cell a=5.6522 b=5.6522 c=7.8505 alpha=90.00 beta=90.00 gamma=120.00
Space group P6/mmm (No. 191)
Unique sites:
Li  0.3333  0.6667  0.0000 [2 per cell]
Ac  0.0000  0.0000  0.5000 [1 per cell]
Ag  0.0000  0.5000  0.2857 [6 per cell]

Properties
D(E_F), states/eV/cell: 3.9

---

[7]
A plane-wave DFT calculation with PBE-GGA was carried out for a geometry-optimized Li2AcAg structure.

Unit cell a=4.447 b=4.447 c=5.569 alpha=90.00 beta=90.00 gamma=90.00
Space group P4/mmm (No. 123)
Unique sites:
Li  0.000  0.500  0.000 [2 per cell]
Ac  0.000  0.000  0.500 [1 per cell]
Ag  0.500  0.500  0.500 [1 per cell]

Properties
ΔE to the lowest computed polymorph, meV/atom: 163
D(E_F), states/eV/cell: 2.4

---

[8]
A plane-wave DFT calculation with PBE-GGA was carried out for a geometry-optimized LiAc4Ag2 structure.

Unit cell a=5.5860 b=5.5860 c=27.3274 alpha=90.00 beta=90.00 gamma=120.00
Space group R-3m (No. 166, hexagonal axes)
Unique sites:
Li  0.0000  0.0000  0.0000 [3 per cell]
Ac  0.0000  0.0000  0.2128 [6 per cell]
Ac  0.0000  0.0000  0.3748 [6 per cell]
Ag  0.0000  0.0000  0.0930 [6 per cell]

Properties
D(E_F), states/eV/cell: 23.5

---

[9]
A plane-wave DFT calculation with PBE-GGA was carried out for a geometry-optimized Li4AcAg12 structure.

Unit cell a=8.819 b=8.819 c=8.819 alpha=90.00 beta=90.00 gamma=90.00
Space group Im-3 (No. 204)
Unique sites:
Li  0.250  0.250  0.250 [8 per cell]
Ac  0.000  0.000  0.000 [2 per cell]
Ag  0.000  0.346  0.162 [24 per cell]

Properties
D(E_F), states/eV/cell: 3.3

---

[10]
A plane-wave DFT calculation with PBE-GGA was carried out for a geometry-optimized Li2AcAg8 structure.

Unit cell a=5.484 b=5.484 c=9.136 alpha=90.00 beta=90.00 gamma=90.00
Space group P4/mmm (No. 123)
Unique sites:
Li  0.000  0.500  0.000 [2 per cell]
Ac  0.000  0.000  0.500 [1 per cell]
Ag  0.252  0.252  0.217 [8 per cell]

Properties
D(E_F), states/eV/cell: 4.3

---

[11]
A plane-wave DFT calculation with PBE-GGA was carried out for a geometry-optimized Li6AcAg6 structure.

Unit cell a=5.651 b=9.109 c=9.856 alpha=90.00 beta=90.00 gamma=90.00
Space group Immm (No. 71)
Unique sites:
Li  0.000  0.000  0.139 [4 per cell]
Li  0.000  0.352  0.500 [4 per cell]
Li  0.000  0.500  0.216 [4 per cell]
Ac  0.000  0.000  0.500 [2 per cell]
Ag  0.000  0.282  0.000 [4 per cell]
Ag  0.250  0.250  0.250 [8 per cell]

Properties
ΔE to the lowest computed polymorph, meV/atom: 0
D(E_F), states/eV/cell: 12.6

---

[12]
A plane-wave DFT calculation with PBE-GGA was carried out for a geometry-optimized Li2Ac3Ag5 structure.

Unit cell a=11.140 b=11.140 c=4.040 alpha=90.00 beta=90.00 gamma=90.00
Space group P4/mbm (No. 127)
Unique sites:
Li  0.110  0.390  0.000 [4 per cell]
Ac  0.000  0.000  0.000 [2 per cell]
Ac  0.184  0.684  0.000 [4 per cell]
Ag  0.000  0.500  0.500 [2 per cell]
Ag  0.061  0.233  0.500 [8 per cell]

Properties
D(E_F), states/eV/cell: 15.4

---

no.,DFT formation energy (kJ per mole of atoms),total moment (μB/f.u.)
1,10,0.00
2,-14,0.00
3,-17,0.00
4,-4,0.63
5,-20,0.00
6,-1,0.00
7,3,0.00
8,-2,0.00
9,15,0.00
10,12,0.00
11,-16,0.00
12,-22,0.00